An optimized crystal structure of Tc2AgRuO8, computed with PBE.

The structure in POSCAR format:
```
Tc2AgRuO8
1.0
5.7223 0.0000 0.0000
-2.8611 4.9556 0.0000
0.0000 0.0000 6.5661
Tc Ag Ru O
2 1 1 8
direct
0.3333 0.6667 0.2699
0.6667 0.3333 0.7301
0.0000 0.0000 0.5000
0.0000 0.0000 0.0000
0.1386 0.3213 0.1855
0.1827 0.8614 0.1855
0.3213 0.1827 0.8145
0.3333 0.6667 0.5341
0.6667 0.3333 0.4659
0.6787 0.8173 0.1855
0.8173 0.1386 0.8145
0.8614 0.6787 0.8145
```

Calculated values
**E_form (uncorrected)**: -1.0056 eV per atom

***

An optimized crystal structure of Sm6BiTe3S2, computed with PBE.

The structure in POSCAR format:
```
Sm6BiTe3S2
1.0
9.4883 -2.1482 0.0000
9.4883 2.1482 0.0000
-2.1683 0.0000 8.4388
Sm Bi Te S
6 1 3 2
direct
0.0188 0.0188 0.2606
0.3235 0.3235 0.4390
0.3280 0.3280 0.8788
0.6720 0.6720 0.1212
0.6765 0.6765 0.5610
0.9812 0.9812 0.7395
0.5000 0.5000 0.0000
0.1598 0.1598 0.8317
0.5000 0.5000 0.5000
0.8402 0.8402 0.1683
0.1713 0.1713 0.3395
0.8287 0.8287 0.6605
```

Calculated values
**E_form (uncorrected)**: -1.5058 eV per atom

***

An optimized crystal structure of CeNd3Dy2Ho6, computed with PBE.

The structure in POSCAR format:
```
CeNd3Dy2Ho6
1.0
3.0953 -5.3595 0.0000
3.0953 5.3595 0.0000
-2.0602 0.0000 11.5931
Ce Nd Dy Ho
1 3 2 6
direct
0.0000 0.0000 0.0000
0.1676 0.8324 0.5000
0.5000 0.5000 0.5000
0.8324 0.1676 0.5000
0.3333 0.6667 0.0000
0.6667 0.3333 0.0000
0.0824 0.4135 0.2466
0.2490 0.2490 0.7533
0.4135 0.0824 0.2466
0.5865 0.9176 0.7534
0.7510 0.7510 0.2467
0.9176 0.5865 0.7534
```

Calculated values
**Formation enthalpy at 0 K**: 0.034 eV per atom

***

An optimized crystal structure of LaPr10Dy6, computed with PBE.

The structure in POSCAR format:
```
LaPr10Dy6
1.0
9.9598 0.0000 0.0000
-4.9799 8.6255 0.0000
0.0000 0.0000 6.9802
La Pr Dy
1 10 6
direct
0.0000 0.0000 0.0000
0.0000 0.2780 0.3202
0.0000 0.7220 0.6798
0.2780 0.0000 0.3202
0.2780 0.2780 0.6798
0.3333 0.6667 0.0000
0.3333 0.6667 0.5000
0.6667 0.3333 0.0000
0.6667 0.3333 0.5000
0.7220 0.0000 0.6798
0.7220 0.7220 0.3202
0.0000 0.3699 0.8116
0.0000 0.6301 0.1884
0.3699 0.0000 0.8116
0.3699 0.3699 0.1884
0.6301 0.0000 0.1884
0.6301 0.6301 0.8116
```

Calculated values
**Formation enthalpy at 0 K**: 0.131 eV per atom

***

| no. | DOS at the Fermi energy (states/eV/atom) |
| --- | --- |
| 1 | 0.514 |
| 2 | 0.439 |
| 3 | 1.498 |
| 4 | 1.595 |